The following is a DFT calculation (GGA-PBE) of a relaxed structure of GeBi3O6.

Computed properties:
E above lowest polymorph: 0.00 kJ per mole of atoms
Uncorrected energy: -0.429 Ry per atom
DOS(E_F): 3.97 states/eV/cell

Unit cell a=7.4006 b=7.4006 c=6.0045 alpha=90.00 beta=90.00 gamma=104.89
Last column: nearest neighbours and their distance in Å.
Atoms (fractional coordinates):
Ge (0.1849, 0.8151, 0.5000)  4 O 1.78-1.81
Ge (0.8151, 0.1849, 0.0000)  4 O 1.78-1.81
Bi (0.0796, 0.3034, 0.4612)  6 O 2.37-2.57
Bi (0.3034, 0.0796, 0.9612)  6 O 2.37-2.57
Bi (0.4072, 0.5928, 0.9598)  4 O 2.34-2.36
Bi (0.5928, 0.4072, 0.4598)  4 O 2.34-2.36
Bi (0.6966, 0.9204, 0.4612)  6 O 2.37-2.57
Bi (0.9204, 0.6966, 0.9612)  6 O 2.37-2.57
O (0.0361, 0.9639, 0.5694)  1 Ge 1.80
O (0.0828, 0.5926, 0.6317)  1 Ge 1.81
O (0.2133, 0.7867, 0.2088)  1 Ge 1.78
O (0.3359, 0.3447, 0.2130)  4 Bi 2.34-2.44
O (0.3447, 0.3359, 0.7130)  4 Bi 2.34-2.44
O (0.4074, 0.9172, 0.6317)  1 Ge 1.81
O (0.5926, 0.0828, 0.1317)  1 Ge 1.81
O (0.6553, 0.6641, 0.2130)  4 Bi 2.34-2.44
O (0.6641, 0.6553, 0.7130)  4 Bi 2.34-2.44
O (0.7867, 0.2133, 0.7088)  1 Ge 1.78
O (0.9172, 0.4074, 0.1317)  1 Ge 1.81
O (0.9639, 0.0361, 0.0694)  1 Ge 1.80



The following is a DFT calculation (GGA-PBE) of a relaxed structure of GeBi2O.

Computed properties:
E above lowest polymorph: 28.55 kJ per mole of atoms
Uncorrected energy: -0.310 Ry per atom
DOS(E_F): 1.68 states/eV/cell

Unit cell a=4.9008 b=4.9008 c=4.9008 alpha=60.00 beta=60.00 gamma=60.00
Last column: nearest neighbours and their distance in Å.
Atoms (fractional coordinates):
Ge (0.0000, 0.0000, 0.0000)  8 Bi 3.00
Bi (0.2500, 0.2500, 0.2500)  4 Ge 3.00, 4 O 3.00
Bi (0.7500, 0.7500, 0.7500)  4 Ge 3.00, 4 O 3.00
O (0.5000, 0.5000, 0.5000)  8 Bi 3.00



Number 1: volume 317.8 Å³/cell, formation energy (no corrections) -1241 meV/atom. Number 2: volume 83.2 Å³/cell, formation energy (no corrections) 113 meV/atom.